Version one
BeGe2PBr after structural relaxation, computed with PBE.

Structure (POSCAR):
```
BeGe2PBr
1.0
5.256 0.000 0.000
0.000 5.256 0.000
0.000 0.000 4.311
Be Ge P Br
1 2 1 1
Direct
0.000 0.000 0.000
0.000 0.500 0.500
0.500 0.000 0.500
0.500 0.500 0.000
0.000 0.000 0.500
```

Properties
**Volume**: 119 Å³/f.u.

=====

Version two
BeGe2PBr after structural relaxation, computed with PBE.

Structure (POSCAR):
```
BeGe2PBr
1.0
5.038 0.000 0.000
0.000 5.038 0.000
0.000 0.000 3.932
Be Ge P Br
1 2 1 1
Direct
0.000 0.000 0.000
0.000 0.500 0.000
0.500 0.000 0.000
0.000 0.000 0.500
0.500 0.500 0.500
```

Properties
**Volume**: 100 Å³/f.u.

=====

Energy ordering: version two at the bottom, the next structure 84.9 kJ/mol of atoms above.